Computed, not measured: Tb4Ho4Er3 after structural relaxation at the PBE-GGA level of DFT.

The structure in CIF format:
```
data_Tb4Ho4Er3
_chemical_formula_sum 'Tb4 Ho4 Er3'
_space_group_name_H-M_alt 'P 1'
_space_group_IT_number 1
_space_group_name_Hall 'P 1'
_cell_length_a 3.524
_cell_length_b 11.078
_cell_length_c 10.741
_cell_angle_alpha 121.05
_cell_angle_beta 99.44
_cell_angle_gamma 90.00
loop_
_atom_site_label
_atom_site_type_symbol
_atom_site_fract_x
_atom_site_fract_y
_atom_site_fract_z
_atom_site_occupancy
Ho1 Ho 0.330 0.091 0.661 1
Ho2 Ho 0.330 0.570 0.661 1
Ho3 Ho 0.670 0.909 0.339 1
Ho4 Ho 0.670 0.430 0.339 1
Tb1 Tb 0.500 0.794 0.000 1
Tb2 Tb 0.223 0.723 0.446 1
Tb3 Tb 0.777 0.277 0.554 1
Tb4 Tb 0.500 0.206 0.000 1
Er1 Er 0.108 0.108 0.216 1
Er2 Er 0.892 0.892 0.784 1
Er3 Er 0.000 0.500 0.000 1
```

* final energy: -4.407 eV per atom
* DOS(E_F): 15.21 states/eV per cell
* energy above the most stable polymorph in this dataset: 128 meV/atom
* symmetry: No. 71